Ho2HfSe2N2: optimized geometry, PBE.

Geometry as POSCAR:
```
Ho2HfSe2N2
1.0
4.1721 0.0000 0.0000
0.0000 4.1721 0.0000
-2.0860 -2.0860 7.3872
Se Hf N Ho
2 1 2 2
Cartesian
0.0000 0.0000 2.7034
2.0860 2.0860 4.6838
0.0000 0.0000 0.0000
2.0860 0.0000 0.0000
0.0000 2.0860 0.0000
2.0861 2.0860 1.6266
0.0000 0.0000 5.7606
```

## Properties
- Calculated total energy: -7.756 eV/atom
- Volume: 128.6 Å³/cell
- Formation energy (no corrections): -1.65 eV per atom